[1]
Here is a geometry-optimized Ce2Co9Ni structure from Alexandria. Energies are from GGA-PBE.

```
Ce2Co9Ni
1.0
4.799 0.000 0.000
2.399 4.156 0.000
2.399 1.385 8.248
Ce Co Ni
2 9 1
Direct
0.136 0.136 0.593
0.864 0.864 0.407
0.334 0.334 0.999
0.921 0.422 0.236
0.500 0.500 0.500
0.578 0.578 0.764
0.422 0.422 0.236
0.578 0.079 0.764
0.422 0.921 0.236
0.666 0.666 0.001
0.079 0.578 0.764
0.000 0.000 0.000
```

The formation energy comes out at 0.053 eV per atom.

=====

[2]
Here is a geometry-optimized TlReW3 structure from Alexandria. Energies are from GGA-PBE.

```
TlReW3
1.0
4.806 0.000 0.000
0.000 4.806 0.000
0.000 0.000 4.806
W Tl Re
3 1 1
Direct
0.000 0.000 0.500
0.500 0.000 0.000
0.000 0.500 0.000
0.500 0.500 0.500
0.000 0.000 0.000
```

The formation energy comes out at 1.970 eV per atom.

=====

[3]
Here is a geometry-optimized NdDy2PuAs4 structure from Alexandria. Energies are from GGA-PBE.

```
NdDy2PuAs4
1.0
-1.628 -3.835 0.128
6.023 -2.654 -2.915
4.620 -1.785 5.235
As Dy Pu Nd
4 2 1 1
Direct
0.000 0.756 0.743
0.500 0.248 0.746
0.500 0.752 0.254
0.000 0.244 0.257
0.000 0.000 0.000
0.500 0.000 0.500
0.000 0.500 0.500
0.500 0.500 0.000
```

The formation energy comes out at -1.387 eV per atom.

=====

[4]
Here is a geometry-optimized HoMg2In structure from Alexandria. Energies are from GGA-PBE.

```
HoMg2In
1.0
-3.841 -0.170 -2.879
-2.642 -0.719 3.567
-0.558 4.436 0.481
In Ho Mg
1 1 2
Direct
0.500 0.500 0.500
0.500 0.000 0.000
0.000 0.000 0.500
0.000 0.500 0.000
```

The formation energy comes out at -0.271 eV per atom.

=====

Look up the formation energy of the first one.
0.053 eV per atom

=====

Which of these has the lowest formation energy?
NdDy2PuAs4